Entry 1:
Below is a relaxed structure of Ta4Te8Pb, with properties calculated at the PBE level.

Structure (extended XYZ):
```
13
Lattice="6.493 0.000 -3.503 -4.191 6.071 0.000 0.996 0.688 9.615" Properties=species:S:1:pos:R:3 pbc="T T T"
Te -0.150 2.146 7.491
Te -2.238 5.171 7.491
Te 0.198 4.619 0.367
Te 3.099 2.140 5.745
Te 5.536 1.588 -1.379
Te 2.300 1.588 0.366
Te 3.447 4.613 -1.380
Te 0.997 5.171 5.745
Ta 0.000 0.000 0.000
Ta 1.151 3.035 -1.752
Ta 3.246 0.000 -1.751
Ta 5.393 3.723 6.112
Pb -1.598 3.380 4.807
```

DOS at the Fermi energy, states/eV/cell: 8.3
Density, g/cm³: 7.899
Formation energy (no corrections), eV per atom: -0.227

Entry 2:
Below is a relaxed structure of Ta2TePb, with properties calculated at the PBE level.

Structure (extended XYZ):
```
4
Lattice="3.499 0.000 0.000 0.000 3.499 0.000 0.000 0.000 7.946" Properties=species:S:1:pos:R:3 pbc="T T T"
Pb 1.750 1.750 6.470
Te 0.000 0.000 3.327
Ta 1.750 1.750 1.782
Ta 0.000 0.000 0.340
```

DOS at the Fermi energy, states/eV/cell: 1.9
Density, g/cm³: 11.890
Formation energy (no corrections), eV per atom: 0.074

Entry 3:
Below is a relaxed structure of TaTePb, with properties calculated at the PBE level.

Structure (extended XYZ):
```
3
Lattice="3.500 0.000 0.000 -1.750 3.031 0.000 0.000 0.000 7.329" Properties=species:S:1:pos:R:3 pbc="T T T"
Te 0.000 2.021 4.473
Pb 0.000 0.000 0.261
Ta 1.750 1.010 2.596
```

DOS at the Fermi energy, states/eV/cell: 1.9
Density, g/cm³: 11.015
Formation energy (no corrections), eV per atom: 0.093

Entry 4:
Below is a relaxed structure of Ta2TePb, with properties calculated at the PBE level.

Structure (extended XYZ):
```
4
Lattice="-1.788 -2.298 4.216 1.473 -1.629 4.629 -1.349 4.375 3.560" Properties=species:S:1:pos:R:3 pbc="T T T"
Ta -0.080 0.260 0.212
Ta -0.752 -0.036 5.990
Pb -1.248 0.336 9.303
Te -0.416 0.112 3.101
```

DOS at the Fermi energy, states/eV/cell: 3.6
Density, g/cm³: 12.731
Formation energy (no corrections), eV per atom: 0.548

Entry 5:
Below is a relaxed structure of TaTe2Pb, with properties calculated at the PBE level.

Structure (extended XYZ):
```
4
Lattice="-9.166 -4.317 -2.859 -7.586 -7.136 -1.537 -9.282 -4.933 0.576" Properties=species:S:1:pos:R:3 pbc="T T T"
Te -6.227 -3.919 -0.914
Te -0.553 -0.348 -0.081
Pb -12.765 -8.034 -1.873
Ta -19.508 -12.278 -2.862
```

DOS at the Fermi energy, states/eV/cell: 1.8
Density, g/cm³: 9.792
Formation energy (no corrections), eV per atom: 0.144

Entry 6:
Below is a relaxed structure of Ta2TePb, with properties calculated at the PBE level.

Structure (extended XYZ):
```
8
Lattice="4.303 0.000 0.000 0.000 4.303 0.000 2.152 2.152 10.101" Properties=species:S:1:pos:R:3 pbc="T T T"
Te 2.152 4.303 5.051
Te 2.152 2.152 0.000
Ta 5.379 5.328 7.576
Ta 3.227 3.278 7.576
Ta 1.127 3.227 2.525
Ta 3.176 1.076 2.525
Pb 4.303 2.152 5.051
Pb 0.000 0.000 0.000
```

DOS at the Fermi energy, states/eV/cell: 4.4
Density, g/cm³: 12.370
Formation energy (no corrections), eV per atom: 0.748